Entry 1:
Crystalline CaInFe at its relaxed geometry. Source: Alexandria, functional GGA-PBEsol.

extended XYZ file:
```
3
Lattice="3.406 0.000 0.000 0.000 3.406 0.000 -1.703 -1.703 5.407" Properties=species:S:1:pos:R:3 pbc="T T T"
In 1.703 1.703 2.158
Ca 1.703 1.703 5.301
Fe 0.000 0.000 3.355
```

Summary:
* energy of formation: 0.54 eV/f.u.
* magnetic moment: 2.17 Bohr magnetons per cell

Entry 2:
Crystalline CaIn2Fe at its relaxed geometry. Source: Alexandria, functional GGA-PBEsol.

extended XYZ file:
```
4
Lattice="-0.333 1.193 3.116 4.356 -1.664 1.102 2.275 4.873 -1.630" Properties=species:S:1:pos:R:3 pbc="T T T"
In 2.218 4.753 -1.590
In 2.454 1.664 3.227
Ca 0.985 3.063 0.732
Fe 3.886 2.829 -0.670
```

Summary:
* energy of formation: 0.63 eV/f.u.
* magnetic moment: 2.76 Bohr magnetons per cell

Entry 3:
Crystalline CaInFe at its relaxed geometry. Source: Alexandria, functional GGA-PBEsol.

extended XYZ file:
```
3
Lattice="3.400 0.000 0.000 0.000 4.704 0.000 0.000 -2.352 4.074" Properties=species:S:1:pos:R:3 pbc="T T T"
Fe 1.700 0.000 2.716
Ca 0.000 0.000 0.000
In 1.700 2.352 1.358
```

Summary:
* energy of formation: 0.63 eV/f.u.
* magnetic moment: 2.76 Bohr magnetons per cell

| no. | calculated volume (Å³/cell) |
| --- | --- |
| 1 | 62.7 |
| 2 | 90.3 |
| 3 | 65.1 |